Compound: InBiPtO6
Source: Alexandria
Functional: GGA-PBE
Structure: relaxed

```
data_InBiPtO6
_chemical_formula_sum 'In2 Bi2 Pt2 O12'
_space_group_name_H-M_alt 'P 42 n m'
_space_group_IT_number 102
_space_group_name_Hall 'P 4n -2n'
_cell_length_a 4.8703
_cell_length_b 4.8703
_cell_length_c 9.9965
_cell_angle_alpha 90.00
_cell_angle_beta 90.00
_cell_angle_gamma 90.00
loop_
_atom_site_label
_atom_site_type_symbol
_atom_site_fract_x
_atom_site_fract_y
_atom_site_fract_z
In1 In 0.0000 0.0000 0.0000
Bi1 Bi 0.0000 0.0000 0.6688
Pt1 Pt 0.0000 0.0000 0.3348
O1 O 0.1829 0.1829 0.1761
O2 O 0.1860 0.1860 0.4899
O3 O 0.2059 0.2059 0.8357
```

Output
**Density**: 8.61 g/cm³
**ΔE_f (raw)**: -912 meV per atom